(1)
# AlHgI2N PBE-GGA relaxed
# - total magnetization (μB per cell) = 0.44
# - uncorrected energy (eV/atom) = -2.94
# - uncorrected formation energy (kJ per mole of atoms) = 15
# - space group = No. 123
# - energy above the lowest structure with this stoichiometry (meV/atom) = 0
data_AlHgI2N
_chemical_formula_sum 'Al1 Hg1 I2 N1'
_symmetry_space_group_name_H-M 'P 1'
_symmetry_Int_Tables_number 1
_symmetry_space_group_name_Hall 'P 1'
_cell_length_a 6.116
_cell_length_b 6.116
_cell_length_c 3.503
_cell_angle_alpha 90.00
_cell_angle_beta 90.00
_cell_angle_gamma 90.00
loop_
_atom_site_label
_atom_site_type_symbol
_atom_site_fract_x
_atom_site_fract_y
_atom_site_fract_z
Al1 Al 0.000 0.000 0.000
Hg1 Hg 0.500 0.500 0.500
I1 I 0.000 0.500 0.000
I2 I 0.500 0.000 0.000
N1 N 0.000 0.000 0.500

(2)
# LiAl2Cd PBE-GGA relaxed
# - total magnetization (μB per cell) = 0.00
# - uncorrected energy (eV/atom) = -2.58
# - formation enthalpy at 0 K (eV/atom) = -0.002
# - space group = No. 216
data_LiAl2Cd
_chemical_formula_sum 'Li1 Al2 Cd1'
_symmetry_space_group_name_H-M 'P 1'
_symmetry_Int_Tables_number 1
_symmetry_space_group_name_Hall 'P 1'
_cell_length_a 4.675
_cell_length_b 4.675
_cell_length_c 4.675
_cell_angle_alpha 60.00
_cell_angle_beta 60.00
_cell_angle_gamma 60.00
loop_
_atom_site_label
_atom_site_type_symbol
_atom_site_fract_x
_atom_site_fract_y
_atom_site_fract_z
Li1 Li 0.000 0.000 0.000
Al1 Al 0.500 0.500 0.500
Al2 Al 0.750 0.750 0.750
Cd1 Cd 0.250 0.250 0.250

(3)
# GaCu3O PBE-GGA relaxed
# - total magnetization (μB per cell) = 0.00
# - uncorrected energy (eV/atom) = -2.99
# - uncorrected formation energy (kJ per mole of atoms) = 103
# - space group = No. 221
# - energy above the lowest structure with this stoichiometry (meV/atom) = 1083
data_GaCu3O
_chemical_formula_sum 'Ga1 Cu3 O1'
_symmetry_space_group_name_H-M 'P 1'
_symmetry_Int_Tables_number 1
_symmetry_space_group_name_Hall 'P 1'
_cell_length_a 4.452
_cell_length_b 4.452
_cell_length_c 4.452
_cell_angle_alpha 90.00
_cell_angle_beta 90.00
_cell_angle_gamma 90.00
loop_
_atom_site_label
_atom_site_type_symbol
_atom_site_fract_x
_atom_site_fract_y
_atom_site_fract_z
Ga1 Ga 0.000 0.000 0.000
Cu1 Cu 0.000 0.000 0.500
Cu2 Cu 0.000 0.500 0.000
Cu3 Cu 0.500 0.000 0.000
O1 O 0.500 0.500 0.500

(4)
# Be2Te PBE-GGA relaxed
# - total magnetization (μB per cell) = 0.00
# - uncorrected energy (eV/atom) = -2.95
# - uncorrected formation energy (kJ per mole of atoms) = 56
# - space group = No. 205
# - energy above the lowest structure with this stoichiometry (meV/atom) = 560
data_Be2Te
_chemical_formula_sum 'Be8 Te4'
_symmetry_space_group_name_H-M 'P 1'
_symmetry_Int_Tables_number 1
_symmetry_space_group_name_Hall 'P 1'
_cell_length_a 6.082
_cell_length_b 6.082
_cell_length_c 6.082
_cell_angle_alpha 90.00
_cell_angle_beta 90.00
_cell_angle_gamma 90.00
loop_
_atom_site_label
_atom_site_type_symbol
_atom_site_fract_x
_atom_site_fract_y
_atom_site_fract_z
Be1 Be 0.097 0.097 0.097
Be2 Be 0.097 0.403 0.597
Be3 Be 0.403 0.597 0.097
Be4 Be 0.403 0.903 0.597
Be5 Be 0.597 0.097 0.403
Be6 Be 0.597 0.403 0.903
Be7 Be 0.903 0.597 0.403
Be8 Be 0.903 0.903 0.903
Te1 Te 0.000 0.000 0.500
Te2 Te 0.000 0.500 0.000
Te3 Te 0.500 0.000 0.000
Te4 Te 0.500 0.500 0.500

(5)
# SrAuBr PBE-GGA relaxed
# - total magnetization (μB per cell) = 0.00
# - uncorrected energy (eV/atom) = -3.57
# - uncorrected formation energy (kJ per mole of atoms) = -131
# - space group = No. 12
# - energy above the lowest structure with this stoichiometry (meV/atom) = 0
data_SrAuBr
_chemical_formula_sum 'Sr2 Au2 Br2'
_symmetry_space_group_name_H-M 'P 1'
_symmetry_Int_Tables_number 1
_symmetry_space_group_name_Hall 'P 1'
_cell_length_a 4.720
_cell_length_b 4.720
_cell_length_c 10.667
_cell_angle_alpha 92.11
_cell_angle_beta 92.11
_cell_angle_gamma 60.21
loop_
_atom_site_label
_atom_site_type_symbol
_atom_site_fract_x
_atom_site_fract_y
_atom_site_fract_z
Sr1 Sr 0.010 0.010 0.195
Sr2 Sr 0.990 0.990 0.805
Au1 Au 0.334 0.334 0.015
Au2 Au 0.666 0.666 0.985
Br1 Br 0.316 0.316 0.663
Br2 Br 0.684 0.684 0.337

(6)
# TlFe2Os PBE-GGA relaxed
# - total magnetization (μB per cell) = 6.22
# - uncorrected energy (eV/atom) = -7.02
# - formation enthalpy at 0 K (eV/atom) = 0.614
# - space group = No. 123
# - energy above the lowest structure with this stoichiometry (meV/atom) = 96
data_TlFe2Os
_chemical_formula_sum 'Tl1 Fe2 Os1'
_symmetry_space_group_name_H-M 'P 1'
_symmetry_Int_Tables_number 1
_symmetry_space_group_name_Hall 'P 1'
_cell_length_a 3.960
_cell_length_b 3.960
_cell_length_c 3.869
_cell_angle_alpha 90.00
_cell_angle_beta 90.00
_cell_angle_gamma 90.00
loop_
_atom_site_label
_atom_site_type_symbol
_atom_site_fract_x
_atom_site_fract_y
_atom_site_fract_z
Tl1 Tl 0.000 0.000 0.000
Fe1 Fe 0.000 0.500 0.500
Fe2 Fe 0.500 0.000 0.500
Os1 Os 0.500 0.500 0.000

(7)
# Y6Ni2Ag PBE-GGA relaxed
# - total magnetization (μB per cell) = 0.00
# - uncorrected energy (eV/atom) = -6.19
# - formation enthalpy at 0 K (eV/atom) = -0.276
# - space group = No. 71
data_Y6Ni2Ag
_chemical_formula_sum 'Y12 Ni4 Ag2'
_symmetry_space_group_name_H-M 'P 1'
_symmetry_Int_Tables_number 1
_symmetry_space_group_name_Hall 'P 1'
_cell_length_a 8.378
_cell_length_b 8.378
_cell_length_c 8.378
_cell_angle_alpha 111.74
_cell_angle_beta 109.91
_cell_angle_gamma 106.80
loop_
_atom_site_label
_atom_site_type_symbol
_atom_site_fract_x
_atom_site_fract_y
_atom_site_fract_z
Y1 Y 0.043 0.237 0.806
Y2 Y 0.181 0.284 0.465
Y3 Y 0.181 0.716 0.897
Y4 Y 0.325 0.017 0.692
Y5 Y 0.325 0.633 0.308
Y6 Y 0.431 0.237 0.194
Y7 Y 0.569 0.763 0.806
Y8 Y 0.675 0.367 0.692
Y9 Y 0.675 0.983 0.308
Y10 Y 0.819 0.284 0.103
Y11 Y 0.819 0.716 0.535
Y12 Y 0.957 0.763 0.194
Ni1 Ni 0.119 0.619 0.500
Ni2 Ni 0.349 0.000 0.349
Ni3 Ni 0.651 0.000 0.651
Ni4 Ni 0.881 0.381 0.500
Ag1 Ag 0.000 0.000 0.000
Ag2 Ag 0.500 0.500 0.000

(8)
# CdPbCl2 PBE-GGA relaxed
# - total magnetization (μB per cell) = 0.00
# - uncorrected energy (eV/atom) = -2.69
# - uncorrected formation energy (kJ per mole of atoms) = -59
# - space group = No. 123
# - energy above the lowest structure with this stoichiometry (meV/atom) = 93
data_CdPbCl2
_chemical_formula_sum 'Cd1 Pb1 Cl2'
_symmetry_space_group_name_H-M 'P 1'
_symmetry_Int_Tables_number 1
_symmetry_space_group_name_Hall 'P 1'
_cell_length_a 3.649
_cell_length_b 3.649
_cell_length_c 9.528
_cell_angle_alpha 90.00
_cell_angle_beta 90.00
_cell_angle_gamma 90.00
loop_
_atom_site_label
_atom_site_type_symbol
_atom_site_fract_x
_atom_site_fract_y
_atom_site_fract_z
Cd1 Cd 0.000 0.000 0.000
Pb1 Pb 0.000 0.000 0.500
Cl1 Cl 0.500 0.500 0.326
Cl2 Cl 0.500 0.500 0.674